[1]
DFT (PBE) results for a relaxed structure of Er2ZrScAs4.

Cell lengths 6.867, 3.969, 6.885 Å; angles 90.00, 109.34, 90.00 degrees
Space group P2/m (No. 10)
One atom of each set of equivalent atoms:
Er: 0.000 0.000 0.000
Er: 0.500 0.500 0.000
Zr: 0.000 0.500 0.500
Sc: 0.500 0.000 0.500
As: 0.247 0.000 0.738
As: 0.255 0.500 0.262

Results
Calculated formation energy, eV per formula unit: -11.1
V, Å³ per atom: 22.1

[2]
DFT (PBE) results for a relaxed structure of Er3AsSe6.

Cell lengths 10.975, 13.787, 6.925 Å; angles 90.00, 90.00, 90.00 degrees
Space group Cmc2_1 (No. 36)
One atom of each set of equivalent atoms:
Er: 0.000 0.096 0.000
Er: 0.182 0.400 0.101
As: 0.000 0.322 0.624
Se: 0.000 0.268 0.254
Se: 0.000 0.488 0.862
Se: 0.164 0.238 0.808
Se: 0.165 0.032 0.298

Results
V, Å³ per atom: 26.2
ΔE_f (raw), meV per atom: -1364

| no. | final energy (eV/f.u.) | theoretical density (g/cm3) |
| --- | --- | --- |
| 1 | -53.724 | 7.2 |
| 2 | -52.887 | 6.7 |